VASP calculation (SCAN) on a PBEsol-optimized structure of HPbClO.

Results
Mass density = 6.37 g/cm³
Total magnetization = 0.000 μB/atom
Uncorrected energy = -24.571 eV per atom
Calculated volume = 16.92 Å³ per atom

```
data_HPbClO
_space_group_name_H-M_alt 'P n m a'
_space_group_IT_number 62
_cell_length_a 7.028
_cell_length_b 3.986
_cell_length_c 9.663
_cell_angle_alpha 90.00
_cell_angle_beta 90.00
_cell_angle_gamma 90.00
loop_
_space_group_symop_operation_xyz
'x,y,z'
'-x,-y,-z'
'-x+1/2,-y,z+1/2'
'x+1/2,y,-z+1/2'
'x+1/2,-y+1/2,-z+1/2'
'-x+1/2,y+1/2,z+1/2'
'-x,y+1/2,-z'
'x,-y+1/2,z'
loop_
_atom_site_label
_atom_site_type_symbol
_atom_site_fract_x
_atom_site_fract_y
_atom_site_fract_z
_atom_site_occupancy
H1 H 0.221 0.250 0.117 1
Pb1 Pb 0.206 0.750 0.911 1
Cl1 Cl 0.060 0.250 0.676 1
O1 O 0.129 0.250 0.041 1
```